Density functional theory data (PBE) for a geometry-optimized Mn3VPt4 structure.

a = 4.688 Å, b = 5.599 Å, c = 9.002 Å
α = 90.00°, β = 90.00°, γ = 90.00°
Site moments in Bohr magnetons follow the coordinates.
Fractional coordinates of all 16 atoms:
Mn1 0.000 0.000 0.000  3.56
Mn2 0.000 0.000 0.500  3.56
Mn3 0.629 0.000 0.750  3.65
Mn4 0.371 0.000 0.250  3.65
Mn5 0.635 0.500 0.750  3.56
Mn6 0.365 0.500 0.250  3.56
Pt1 0.500 0.749 0.000  0.23
Pt2 0.500 0.749 0.500  0.23
Pt3 0.500 0.251 0.000  0.23
Pt4 0.500 0.251 0.500  0.23
Pt5 0.132 0.749 0.750  0.19
Pt6 0.868 0.749 0.250  0.19
Pt7 0.868 0.251 0.250  0.19
Pt8 0.132 0.251 0.750  0.19
V1 0.000 0.500 0.000  -1.50
V2 0.000 0.500 0.500  -1.50

Computed properties:
DFT formation energy: -0.3992 eV/atom
Fermi-level density of states: 13.55 states/eV per cell